First-principles (PBE) data for a geometry-optimized BaY2In2Hg2 structure, as listed in the Alexandria database.

a b c (Å): 10.2422 10.2422 10.2422
angles (deg): 28.59 28.59 28.59
Sites, in units of the cell vectors:
Ba 0.0000 0.0000 0.0000
Y 0.1349 0.1349 0.1349
Y 0.8651 0.8651 0.8651
In 0.2531 0.2531 0.2531
In 0.7469 0.7469 0.7469
Hg 0.4400 0.4400 0.4400
Hg 0.5600 0.5600 0.5600

## Properties
Energy of formation from the pure elements: -0.38 eV/atom
Crystal system: trigonal
DFT total energy: -3.37 eV/atom